Record 1
Compound: La6SmY4
Source: the Alexandria database
Functional: PBE-GGA
Structure: relaxed

a b c (Å): 5.9378 5.7840 26.4553
angles (deg): 90.00 90.00 120.88
Fractional positions:
La 0.5000 0.0000 0.0000
La 0.5000 0.0000 0.5000
Y 0.8445 0.6890 0.9544
Y 0.8445 0.6890 0.5456
Y 0.4702 0.9403 0.3750
La 0.8654 0.7308 0.6824
Y 0.1555 0.3110 0.4544
Y 0.1555 0.3110 0.0456
La 0.1346 0.2692 0.3176
La 0.1346 0.2692 0.1824
La 0.1899 0.3798 0.9020
Y 0.5298 0.0597 0.8750
La 0.5399 0.0798 0.7500
La 0.4601 0.9202 0.2500
Sm 0.7997 0.5994 0.2500
Y 0.5298 0.0597 0.6250
La 0.8654 0.7308 0.8176
Y 0.4702 0.9403 0.1250
La 0.8101 0.6202 0.4020
La 0.1899 0.3798 0.5980
Sm 0.2003 0.4006 0.7500
La 0.8101 0.6202 0.0980

## Properties
* DOS at the Fermi energy: 1.7717 states/eV/atom
* uncorrected energy: -5.37 eV/atom

=====

Record 2
Compound: Ce7Pt3
Source: the Alexandria database
Functional: PBE-GGA
Structure: relaxed

a b c (Å): 9.9430 9.9430 6.1632
angles (deg): 90.00 90.00 120.00
Last column: magnetic moment on the atom in μB.
Fractional positions:
Ce 0.0769 0.5384 0.5271  0.56
Ce 0.5384 0.4616 0.0271  0.56
Ce 0.8693 0.1307 0.7607  0.47
Ce 0.5384 0.0769 0.0271  0.56
Pt 0.1887 0.3774 0.8022  -0.01
Ce 0.2614 0.1307 0.7607  0.47
Pt 0.8113 0.6226 0.3022  -0.01
Ce 0.3333 0.6667 0.0728  0.32
Pt 0.6226 0.8113 0.8022  -0.01
Ce 0.1307 0.8693 0.2607  0.47
Ce 0.9231 0.4616 0.0271  0.56
Ce 0.1307 0.2614 0.2607  0.47
Pt 0.8113 0.1887 0.3022  -0.01
Ce 0.7386 0.8693 0.2607  0.47
Ce 0.6667 0.3333 0.5728  0.32
Pt 0.1887 0.8113 0.8022  -0.01
Pt 0.3774 0.1887 0.3022  -0.01
Ce 0.4616 0.5384 0.5271  0.56
Ce 0.8693 0.7386 0.7607  0.47
Ce 0.4616 0.9231 0.5271  0.56

## Properties
* DOS at the Fermi energy: 3.1914 states/eV/atom
* uncorrected energy: -6.61 eV/atom

=====

Record 3
Compound: Pr2Cu6Si3
Source: the Alexandria database
Functional: PBE-GGA
Structure: relaxed

a b c (Å): 4.0484 7.3027 7.3027
angles (deg): 120.00 90.00 90.00
Fractional positions:
Cu 0.0000 0.1944 0.1944
Pr 0.0000 0.3333 0.6667
Cu 0.5000 0.7014 0.7014
Si 0.5000 0.3596 0.3596
Si 0.5000 0.6404 0.0000
Cu 0.0000 0.8056 0.0000
Pr 0.0000 0.6667 0.3333
Si 0.5000 0.0000 0.6404
Cu 0.5000 0.2986 0.0000
Cu 0.0000 0.0000 0.8056
Cu 0.5000 0.0000 0.2986

## Properties
* uncorrected formation energy: -33.5 kJ per mole of atoms
* DOS at the Fermi energy: 0.4465 states/eV/atom
* uncorrected energy: -4.93 eV/atom